Entry 1:
Material: KTiPd2
Method: DFT, PBE
State: optimized geometry

The offset from the most stable computed form comes out at 0 meV/atom. The formation energy comes out at 0.266 eV/atom. Its total energy is -0.168 Ha/atom.

Cell lengths 7.515, 7.515, 6.388 Å; angles 90.00, 90.00, 90.00 degrees
Fractional positions:
K (0.000, 0.000, 0.000)
K (0.000, 0.500, 0.250)
K (0.500, 0.000, 0.750)
K (0.500, 0.500, 0.500)
Ti (0.000, 0.000, 0.500)
Ti (0.000, 0.500, 0.750)
Ti (0.500, 0.000, 0.250)
Ti (0.500, 0.500, 0.000)
Pd (0.188, 0.250, 0.625)
Pd (0.250, 0.688, 0.875)
Pd (0.250, 0.812, 0.375)
Pd (0.312, 0.250, 0.125)
Pd (0.688, 0.750, 0.125)
Pd (0.750, 0.188, 0.375)
Pd (0.750, 0.312, 0.875)
Pd (0.812, 0.750, 0.625)



Entry 2:
Material: KTiPd2
Method: DFT, PBE
State: optimized geometry

The offset from the most stable computed form comes out at 23 meV/atom. The formation energy comes out at 0.290 eV/atom. Its total energy is -0.167 Ha/atom.

Cell lengths 6.750, 6.750, 6.750 Å; angles 90.00, 90.00, 90.00 degrees
Fractional positions:
K (0.000, 0.000, 0.000)
K (0.000, 0.500, 0.500)
K (0.500, 0.000, 0.500)
K (0.500, 0.500, 0.000)
Ti (0.000, 0.000, 0.500)
Ti (0.000, 0.500, 0.000)
Ti (0.500, 0.000, 0.000)
Ti (0.500, 0.500, 0.500)
Pd (0.250, 0.250, 0.250)
Pd (0.250, 0.250, 0.750)
Pd (0.250, 0.750, 0.250)
Pd (0.250, 0.750, 0.750)
Pd (0.750, 0.250, 0.250)
Pd (0.750, 0.250, 0.750)
Pd (0.750, 0.750, 0.250)
Pd (0.750, 0.750, 0.750)



Entry 3:
Material: K2TiTlPd
Method: DFT, PBE
State: optimized geometry

The formation energy comes out at 1.034 eV/atom. Its total energy is -0.092 Ha/atom.

Cell lengths 6.413, 6.413, 5.136 Å; angles 90.00, 90.00, 90.00 degrees
Fractional positions:
K (0.000, 0.500, 0.000)
K (0.500, 0.000, 0.000)
Ti (0.000, 0.000, 0.500)
Tl (0.500, 0.500, 0.000)
Pd (0.500, 0.500, 0.500)



Entry 4:
Material: KTiV2Pd
Method: DFT, PBE
State: optimized geometry

The formation energy comes out at 2.119 eV/atom. Its total energy is -0.160 Ha/atom.

Cell lengths 4.556, 4.556, 4.852 Å; angles 90.00, 90.00, 90.00 degrees
Fractional positions:
K (0.000, 0.000, 0.000)
Ti (0.500, 0.500, 0.500)
V (0.000, 0.500, 0.000)
V (0.500, 0.000, 0.000)
Pd (0.000, 0.000, 0.500)